CeTmInAg: relaxed, PBE-GGA.

Properties
- E_form: -0.267 eV/atom
- Mass density: 8.40 g/cm³
- Crystal system: cubic
- Total moment: 1.25 μB/f.u.
- Density of states at the Fermi level: 41.21 states/eV/cell

a = 7.4927 Å, b = 7.4927 Å, c = 7.4927 Å
α = 90.00°, β = 90.00°, γ = 90.00°
Space group F-43m (No. 216)
Asymmetric unit:
1 Ce 0.0000 0.0000 0.0000 (multiplicity 4)
2 Tm 0.0000 0.0000 0.5000 (multiplicity 4)
3 In 0.2500 0.2500 0.2500 (multiplicity 4)
4 Ag 0.2500 0.2500 0.7500 (multiplicity 4)